Material: SrLiH3
Method: DFT, GGA-PBE
State: relaxed

Unit cell a=6.949 b=4.856 c=9.368 alpha=90.00 beta=113.60 gamma=90.00
Space group P2_1/c (No. 14)
Symmetry-distinct sites (fractional):
Sr 0.219 0.233 0.144 [4 per cell]
Li 0.405 0.743 0.993 [4 per cell]
H 0.149 0.727 0.043 [4 per cell]
H 0.303 0.102 0.912 [4 per cell]
H 0.466 0.552 0.847 [4 per cell]

Relative energy among the computed polymorphs = 108 meV per atom